K2Pd4O after structural relaxation. Source: Alexandria via LeMat-Bulk, functional GGA-PBE.

Structure (extended XYZ):
```
14
Lattice="4.326 0.000 0.000 0.000 4.326 0.000 0.000 0.000 17.385" Properties=species:S:1:pos:R:3 pbc="T T T"
K 0.000 0.000 2.829
K 0.000 0.000 14.556
K 2.163 2.163 5.863
K 2.163 2.163 11.522
Pd 0.000 0.000 6.570
Pd 0.000 0.000 10.815
Pd 0.000 2.163 0.000
Pd 0.000 2.163 8.693
Pd 2.163 0.000 0.000
Pd 2.163 0.000 8.693
Pd 2.163 2.163 2.123
Pd 2.163 2.163 15.263
O 0.000 0.000 8.693
O 2.163 2.163 0.000
```

Properties
The total energy comes out at -53.1 eV per cell. The space-group type is I4/mmm, No. 139.